Below is an optimized crystal structure of NbAsNF2, with properties calculated at the PBE level.

Crystal system: tetragonal
Symmetry: No. 123
Formation energy without anion corrections (eV/f.u.): -3.82

Unit cell a=4.165 b=4.165 c=4.138 alpha=90.00 beta=90.00 gamma=90.00
Element x y z (fractional)
1 Nb 0.000 0.000 0.000
2 As 0.500 0.500 0.500
3 N 0.000 0.000 0.500
4 F 0.000 0.500 0.000
5 F 0.500 0.000 0.000

***

Below is an optimized crystal structure of NaCaIn6, with properties calculated at the PBE level.

Crystal system: orthorhombic
Symmetry: No. 38

Unit cell a=5.521 b=6.655 c=11.514 alpha=90.00 beta=90.00 gamma=90.00
Element x y z (fractional)
1 Na 0.000 0.000 0.000
2 Na 0.000 0.500 0.500
3 Ca 0.500 0.000 0.668
4 Ca 0.500 0.500 0.168
5 In 0.000 0.000 0.496
6 In 0.000 0.243 0.253
7 In 0.000 0.257 0.753
8 In 0.000 0.500 0.996
9 In 0.000 0.743 0.753
10 In 0.000 0.757 0.253
11 In 0.500 0.000 0.168
12 In 0.500 0.249 0.417
13 In 0.500 0.251 0.917
14 In 0.500 0.500 0.668
15 In 0.500 0.749 0.917
16 In 0.500 0.751 0.417

***

Below is an optimized crystal structure of LaCr3Ga, with properties calculated at the PBE level.

Crystal system: cubic
Symmetry: No. 221

Unit cell a=4.504 b=4.504 c=4.504 alpha=90.00 beta=90.00 gamma=90.00
Element x y z (fractional)
1 La 0.000 0.000 0.000
2 Cr 0.000 0.000 0.500
3 Cr 0.000 0.500 0.000
4 Cr 0.500 0.000 0.000
5 Ga 0.500 0.500 0.500

***

| no. | spin magnetization (μB/cell) | excess energy over the best structure of this formula in the dataset (meV per atom) | DFT total energy (eV per atom) |
| --- | --- | --- | --- |
| 1 | 1.11 | 0 | -6.12 |
| 2 | 0.00 | 0 | -2.66 |
| 3 | 0.00 | 859 | -5.30 |